(1)
## K3Sc (PBE)

Data for K3Sc after structural relaxation.

Results
The density of states at the Fermi level comes out at 1.100 states/eV/atom. The calculated total energy is -1.880 eV per atom. For the calculated density, the calculation gives 1.3 g/cm3. As for the calculated formation energy: 50.7 kJ per mole of atoms. Its relative energy among the computed polymorphs is 62.5 meV per atom. For the spin magnetization, the calculation gives 0.332 μB/atom.

abc: 7.2372 7.2372 7.8322
angles: 85.54 85.54 29.96
With the nearest neighbours (Å) after each atom.
Fractional positions:
K 0.2567 0.2567 0.2306  5 K 3.74-4.14, 3 Sc 4.15-4.16
K 0.5000 0.5000 0.5000  4 K 3.74-4.14
K 0.7433 0.7433 0.7694  5 K 3.74-4.14, 3 Sc 4.15-4.16
Sc 0.0000 0.0000 0.0000  2 Sc 3.74, 6 K 4.15-4.16


(2)
## KSc3 (PBE)

Data for KSc3 after structural relaxation.

Results
The density of states at the Fermi level comes out at 1.924 states/eV/atom. The calculated total energy is -4.676 eV per atom. For the calculated density, the calculation gives 2.4 g/cm3. As for the calculated formation energy: 33.5 kJ per mole of atoms. For the spin magnetization, the calculation gives 0.000 μB/atom.

abc: 3.2826 3.2826 11.7693
angles: 90.00 90.00 108.09
With the nearest neighbours (Å) after each atom.
Fractional positions:
Sc 0.5000 0.5000 0.7042  6 Sc 3.08-3.28
Sc 0.0000 0.0000 0.5000  8 Sc 3.08-3.28
Sc 0.5000 0.5000 0.2958  6 Sc 3.08-3.28
K 0.0000 0.0000 0.0000  4 K 3.28


(3)
## KSc2 (PBE)

Data for KSc2 after structural relaxation.

Results
The density of states at the Fermi level comes out at 1.750 states/eV/atom. The calculated total energy is -4.185 eV per atom. For the calculated density, the calculation gives 2.2 g/cm3. As for the calculated formation energy: 38.8 kJ per mole of atoms. For the spin magnetization, the calculation gives 0.277 μB/atom.

abc: 3.4286 3.4286 9.4779
angles: 90.00 90.00 120.00
With the nearest neighbours (Å) after each atom.
Fractional positions:
Sc 0.3333 0.6667 0.6276  9 Sc 3.12-3.43
Sc 0.6667 0.3333 0.3724  9 Sc 3.12-3.43
K 0.0000 0.0000 0.0000  6 K 3.43


(4)
## K2Sc (PBE)

Data for K2Sc after structural relaxation.

Results
The density of states at the Fermi level comes out at 0.970 states/eV/atom. The calculated total energy is -2.186 eV per atom. For the calculated density, the calculation gives 1.5 g/cm3. As for the calculated formation energy: 63.3 kJ per mole of atoms. Its relative energy among the computed polymorphs is 184.7 meV per atom. For the spin magnetization, the calculation gives 0.360 μB/atom.

abc: 7.0986 7.0986 7.0986
angles: 151.23 125.52 62.77
With the nearest neighbours (Å) after each atom.
Fractional positions:
Sc 0.0000 0.0000 0.0000  2 Sc 3.53
K 0.6624 0.6624 0.0000  3 K 3.53-3.94
K 0.3376 0.3376 0.0000  3 K 3.53-3.94


(5)
## K2Sc (PBE)

Data for K2Sc after structural relaxation.

Results
The density of states at the Fermi level comes out at 0.883 states/eV/atom. The calculated total energy is -2.196 eV per atom. For the calculated density, the calculation gives 1.5 g/cm3. As for the calculated formation energy: 62.4 kJ per mole of atoms. Its relative energy among the computed polymorphs is 174.7 meV per atom. For the spin magnetization, the calculation gives 0.347 μB/atom.

abc: 6.6982 6.6980 3.5397
angles: 89.98 90.00 120.00
With the nearest neighbours (Å) after each atom.
Fractional positions:
K 0.3334 0.6666 0.5344  5 K 3.54-3.88
K 0.6669 0.3334 0.4656  5 K 3.54-3.88
Sc 0.9997 0.0000 0.0000  2 Sc 3.54


(6)
## KSc2 (PBE)

Data for KSc2 after structural relaxation.

Results
The density of states at the Fermi level comes out at 1.597 states/eV/atom. The calculated total energy is -3.832 eV per atom. For the calculated density, the calculation gives 2.2 g/cm3. As for the calculated formation energy: 72.8 kJ per mole of atoms. For the spin magnetization, the calculation gives 0.316 μB/atom.

abc: 5.9507 5.9507 3.1276
angles: 90.00 90.00 120.00
With the nearest neighbours (Å) after each atom.
Fractional positions:
K 0.0000 0.0000 0.0000  2 K 3.13
Sc 0.6667 0.3333 0.5000  5 Sc 3.13-3.44
Sc 0.3333 0.6667 0.5000  5 Sc 3.13-3.44


(7)
## KSc3 (PBE)

Data for KSc3 after structural relaxation.

Results
The density of states at the Fermi level comes out at 1.860 states/eV/atom. The calculated total energy is -4.532 eV per atom. For the calculated density, the calculation gives 2.2 g/cm3. As for the calculated formation energy: 47.4 kJ per mole of atoms. For the spin magnetization, the calculation gives 0.293 μB/atom.

abc: 3.2229 5.2405 7.8673
angles: 90.00 90.00 90.00
With the nearest neighbours (Å) after each atom.
Fractional positions:
Sc 0.5000 0.5000 0.7205  6 Sc 3.04-3.22
Sc 0.5000 0.0000 0.5243  8 Sc 3.04-3.26
Sc 0.0000 0.5000 0.3871  8 Sc 3.08-3.26
K 0.0000 0.0000 0.0348  2 K 3.22


(8)
## KSc (PBE)

Data for KSc after structural relaxation.

Results
The density of states at the Fermi level comes out at 1.444 states/eV/atom. The calculated total energy is -3.322 eV per atom. For the calculated density, the calculation gives 1.6 g/cm3. As for the calculated formation energy: 37.9 kJ per mole of atoms. For the spin magnetization, the calculation gives 0.187 μB/atom.

abc: 5.5148 5.5148 15.2489
angles: 74.04 74.04 36.93
With the nearest neighbours (Å) after each atom.
Fractional positions:
K 0.6443 0.6443 0.2371  2 K 3.49, 1 Sc 3.78
K 0.3557 0.3557 0.7629  2 K 3.49, 1 Sc 3.78
K 0.0000 0.0000 0.0000  2 K 3.49
Sc 0.0000 0.0000 0.5000  6 Sc 3.10-3.20
Sc 0.3077 0.3077 0.4156  5 Sc 3.05-3.20
Sc 0.6923 0.6923 0.5844  5 Sc 3.05-3.20


(9)
## K2Sc3 (PBE)

Data for K2Sc3 after structural relaxation.

Results
The density of states at the Fermi level comes out at 1.733 states/eV/atom. The calculated total energy is -3.443 eV per atom. For the calculated density, the calculation gives 1.9 g/cm3. As for the calculated formation energy: 76.7 kJ per mole of atoms. For the spin magnetization, the calculation gives 0.000 μB/atom.

abc: 9.4942 9.1460 6.9835
angles: 70.67 65.37 43.96
With the nearest neighbours (Å) after each atom.
Fractional positions:
K 0.8005 0.8033 0.4029  5 Sc 3.48-3.81, 1 K 3.52
K 0.4467 0.4495 0.2567  5 Sc 3.48-3.81, 1 K 3.52
K 0.8471 0.2567 0.4495  5 Sc 3.48-3.81, 1 K 3.52
K 0.9933 0.4029 0.8033  5 Sc 3.48-3.81, 1 K 3.52
Sc 0.0462 0.9538 0.9538  4 Sc 3.08-3.14
Sc 0.7423 0.9441 0.8959  3 Sc 3.08-3.29
Sc 0.2962 0.2038 0.2038  4 Sc 3.08-3.14
Sc 0.3059 0.5077 0.8322  3 Sc 3.08-3.29
Sc 0.4178 0.8959 0.9441  3 Sc 3.08-3.29
Sc 0.3541 0.8322 0.5077  3 Sc 3.08-3.29


(10)
## K3Sc (PBE)

Data for K3Sc after structural relaxation.

Results
The density of states at the Fermi level comes out at 0.962 states/eV/atom. The calculated total energy is -1.943 eV per atom. For the calculated density, the calculation gives 1.4 g/cm3. As for the calculated formation energy: 44.7 kJ per mole of atoms. Its relative energy among the computed polymorphs is 0.0 meV per atom. For the spin magnetization, the calculation gives 0.291 μB/atom.

abc: 3.9516 3.9516 14.7409
angles: 90.00 90.00 120.00
With the nearest neighbours (Å) after each atom.
Fractional positions:
K 0.0000 0.0000 0.9713  6 K 3.95, 3 Sc 3.98
K 0.6667 0.3333 0.2500  6 K 3.95
K 0.0000 0.0000 0.5287  6 K 3.95, 3 Sc 3.98
Sc 0.6667 0.3333 0.7500  6 Sc 3.95, 6 K 3.98


(11)
## K3Sc (PBE)

Data for K3Sc after structural relaxation.

Results
The density of states at the Fermi level comes out at 1.504 states/eV/atom. The calculated total energy is -1.798 eV per atom. For the calculated density, the calculation gives 1.3 g/cm3. As for the calculated formation energy: 58.6 kJ per mole of atoms. Its relative energy among the computed polymorphs is 144.3 meV per atom. For the spin magnetization, the calculation gives 0.396 μB/atom.

abc: 5.9917 5.9917 5.9917
angles: 90.00 90.00 90.00
With the nearest neighbours (Å) after each atom.
Fractional positions:
Sc 0.0000 0.0000 0.0000  12 K 4.24
K 0.0000 0.5000 0.5000  8 K 4.24, 4 Sc 4.24
K 0.5000 0.0000 0.5000  8 K 4.24, 4 Sc 4.24
K 0.5000 0.5000 0.0000  8 K 4.24, 4 Sc 4.24


(12)
## K2Sc (PBE)

Data for K2Sc after structural relaxation.

Results
The density of states at the Fermi level comes out at 1.621 states/eV/atom. The calculated total energy is -2.255 eV per atom. For the calculated density, the calculation gives 1.5 g/cm3. As for the calculated formation energy: 56.7 kJ per mole of atoms. Its relative energy among the computed polymorphs is 115.6 meV per atom. For the spin magnetization, the calculation gives 0.373 μB/atom.

abc: 10.5319 10.5319 10.5319
angles: 159.88 159.88 28.61
With the nearest neighbours (Å) after each atom.
Fractional positions:
K 0.3497 0.3497 0.0000  4 K 3.68, 4 Sc 4.02
K 0.6503 0.6503 0.0000  4 K 3.68, 4 Sc 4.02
Sc 0.0000 0.0000 0.0000  4 Sc 3.68, 8 K 4.02